Here is a relaxed structure of La2MgF from Alexandria via LeMat-Bulk. Energies are from GGA-PBE.

a b c (Å): 10.831 10.831 10.831
angles (deg): 18.16 18.16 18.16
Atoms (fractional coordinates):
La (0.107, 0.107, 0.107)
La (0.893, 0.893, 0.893)
Mg (0.000, 0.000, 0.000)
F (0.500, 0.500, 0.500)

Summary:
- Total energy: -4.26 eV per atom
- Raw formation energy: -934 meV/atom



Here is a relaxed structure of LaMgF2 from Alexandria via LeMat-Bulk. Energies are from GGA-PBE.

a b c (Å): 4.691 4.691 4.691
angles (deg): 60.00 60.00 60.00
Atoms (fractional coordinates):
La (0.000, 0.000, 0.000)
Mg (0.500, 0.500, 0.500)
F (0.250, 0.250, 0.250)
F (0.750, 0.750, 0.750)

Summary:
- Total energy: -4.44 eV per atom
- Raw formation energy: -1870 meV/atom



Spin magnetization for the records above, in order: 0.00 1.00 Bohr magnetons per cell